Entry 1:
The following is a PBE calculation of a relaxed structure of Li2HoPuO4, from Alexandria.

Cell: 4.4613 4.4613 10.9346 Å, 90.00 90.00 90.00°
With the nearest neighbours (Å) after each atom.
Space group I-4m2 (No. 119)
Inequivalent atoms, fractional coordinates:
Li1 0.0000 0.0000 0.0000 [2 per cell]  4 O 2.27
Li2 0.0000 0.5000 0.2500 [2 per cell]  4 O 2.25
Ho1 0.0000 0.5000 0.7500 [2 per cell]  6 O 2.25-2.33
Pu1 0.0000 0.0000 0.5000 [2 per cell]  6 O 2.27-2.44
O1 0.0000 0.0000 0.2772 [4 per cell]  2 Li 2.25, 2 Ho 2.25, 1 Pu 2.44
O2 0.0000 0.5000 0.5372 [4 per cell]  2 Li 2.27, 2 Pu 2.27, 1 Ho 2.33

crystal system: tetragonal
energy: -64.089 eV/f.u.

***

Entry 2:
The following is a PBE calculation of a relaxed structure of PmPr2Pu3Se6, from Alexandria.

Cell: 18.3066 4.1822 8.4065 Å, 90.00 103.68 90.00°
With the nearest neighbours (Å) after each atom.
Space group C2/m (No. 12)
Inequivalent atoms, fractional coordinates:
Pm1 0.0000 0.0000 0.0000 [2 per cell]  6 Se 2.98
Pr1 0.1667 0.5000 0.3337 [4 per cell]  6 Se 3.01
Pu1 0.0000 0.0000 0.5000 [2 per cell]  6 Se 2.92-2.95
Pu2 0.1673 0.5000 0.8336 [4 per cell]  6 Se 2.92-2.94
Se1 0.0026 0.5000 0.7482 [4 per cell]  3 Pu 2.93-2.95, 2 Pm 2.98, 1 Pr 3.01
Se2 0.1642 0.0000 0.5894 [4 per cell]  3 Pu 2.92, 3 Pr 3.01
Se3 0.1675 0.0000 0.0767 [4 per cell]  3 Pu 2.92-2.94, 1 Pm 2.98, 2 Pr 3.01

crystal system: monoclinic
energy: -98.657 eV/f.u.

***

Entry 3:
The following is a PBE calculation of a relaxed structure of Tl2AgPt, from Alexandria.

Cell: 3.1122 3.9120 7.5309 Å, 90.00 90.00 90.00°
With the nearest neighbours (Å) after each atom.
Space group Pmm2 (No. 25)
Inequivalent atoms, fractional coordinates:
Tl1 0.0000 0.0000 0.0000 [1 per cell]  4 Pt 3.00, 1 Ag 3.05, 2 Tl 3.11
Tl2 0.5000 0.5000 0.3542 [1 per cell]  4 Ag 3.09, 2 Tl 3.11, 1 Pt 3.21
Ag1 0.0000 0.0000 0.5945 [1 per cell]  4 Pt 2.86, 5 Tl 3.05-3.09, 2 Ag 3.11
Pt1 0.5000 0.5000 0.7805 [1 per cell]  4 Ag 2.86, 4 Tl 3.00, 2 Pt 3.11

crystal system: orthorhombic
relative energy among the computed polymorphs: 0.04 eV per formula unit
DFT formation energy: 0.07 eV/atom
energy: -13.330 eV/f.u.

***

Entry 4:
The following is a PBE calculation of a relaxed structure of Ge3OsC, from Alexandria.

Cell: 4.7555 4.7555 4.7555 Å, 90.00 90.00 90.00°
With the nearest neighbours (Å) after each atom.
Space group Pm-3m (No. 221)
Inequivalent atoms, fractional coordinates:
Ge1 0.0000 0.0000 0.5000 [3 per cell]  2 Os 2.38
Os1 0.0000 0.0000 0.0000 [1 per cell]  6 Ge 2.38
C1 0.5000 0.5000 0.5000 [1 per cell]  12 Ge 3.36

crystal system: cubic
relative energy among the computed polymorphs: 1.07 eV per formula unit
DFT formation energy: 1.47 eV/atom
energy: -26.960 eV/f.u.

***

Number 1: magnetization 10.0 μB/cell. Number 2: magnetization 34.5 μB/cell. Number 3: magnetization 0.0 μB/cell. Number 4: magnetization 2.0 μB/cell.